(1)
Here is ErTm5Pb6 after structural relaxation from Alexandria via LeMat-Bulk. Energies are from PBE.

Structure (extended XYZ):
```
12
Lattice="-6.825 4.963 1.385 -4.994 -2.341 2.523 0.179 0.578 8.181" Properties=species:S:1:pos:R:3 pbc="T T T"
Pb -7.082 3.124 7.541
Pb -5.473 3.714 3.983
Pb -2.961 0.647 0.982
Pb -4.558 0.078 4.548
Pb -8.858 1.976 2.927
Pb -6.167 -0.512 8.106
Tm -3.212 -1.176 7.130
Tm -7.518 0.722 5.513
Tm -5.910 1.311 1.954
Tm -1.603 -0.586 3.574
Tm -4.122 2.480 6.577
Er 0.000 0.000 0.000
```

Properties
energy relative to the elements = -4.57 eV/f.u.
SG = No. 12
crystal system = monoclinic
magnetic moment = 0.00 Bohr magnetons per cell

(2)
Here is NbAs2CBr after structural relaxation from Alexandria via LeMat-Bulk. Energies are from PBE.

Structure (extended XYZ):
```
5
Lattice="4.302 0.000 0.000 0.000 4.302 0.000 0.000 0.000 4.525" Properties=species:S:1:pos:R:3 pbc="T T T"
As 2.151 0.000 0.000
As 0.000 2.151 0.000
C 0.000 0.000 0.000
Nb 2.151 2.151 2.262
Br 0.000 0.000 2.262
```

Properties
energy relative to the elements, uncorrected = 1.179 eV per atom
SG = No. 123
crystal system = tetragonal
polymorph energy (0 for the lowest one) = 0.000 eV/atom
magnetic moment = 0.00 Bohr magnetons per cell

(3)
Here is CsKTl2Pt after structural relaxation from Alexandria via LeMat-Bulk. Energies are from PBE.

Structure (extended XYZ):
```
5
Lattice="-4.482 -3.123 -0.160 2.381 -3.226 -3.713 2.417 -3.714 4.777" Properties=species:S:1:pos:R:3 pbc="T T T"
Pt 0.000 0.000 0.000
Tl 1.190 -1.613 -1.856
Tl -2.241 -1.561 -0.080
K 0.158 -5.032 0.452
Cs 1.209 -1.857 2.389
```

Properties
energy relative to the elements = -0.13 eV/f.u.
SG = No. 123
crystal system = tetragonal
polymorph energy (0 for the lowest one) = 0.071 eV/atom
magnetic moment = 0.00 Bohr magnetons per cell

(4)
Here is SnPbS2N after structural relaxation from Alexandria via LeMat-Bulk. Energies are from PBE.

Structure (extended XYZ):
```
5
Lattice="-4.531 2.097 -1.270 -1.581 -0.459 4.882 1.488 3.719 0.831" Properties=species:S:1:pos:R:3 pbc="T T T"
S -2.266 1.049 -0.635
S -0.790 -0.230 2.441
Sn 0.000 0.000 0.000
N 0.744 1.859 0.416
Pb -2.312 2.679 2.222
```

Properties
energy relative to the elements, uncorrected = 0.344 eV per atom
SG = No. 123
crystal system = tetragonal
polymorph energy (0 for the lowest one) = 0.000 eV/atom
magnetic moment = 1.04 Bohr magnetons per cell

(5)
Here is EuHoTmLu after structural relaxation from Alexandria via LeMat-Bulk. Energies are from PBE.

Structure (extended XYZ):
```
4
Lattice="5.667 0.000 0.000 2.834 4.908 0.000 2.834 1.636 4.627" Properties=species:S:1:pos:R:3 pbc="T T T"
Lu 8.501 4.908 3.470
Ho 0.000 0.000 0.000
Tm 2.834 1.636 1.157
Eu 5.667 3.272 2.314
```

Properties
energy relative to the elements = 0.66 eV/f.u.
SG = No. 216
crystal system = cubic
magnetic moment = 7.33 Bohr magnetons per cell

(6)
Here is NbGaF2 after structural relaxation from Alexandria via LeMat-Bulk. Energies are from PBE.

Structure (extended XYZ):
```
4
Lattice="1.640 0.000 9.859 -0.820 1.420 9.859 -0.820 -1.420 9.859" Properties=species:S:1:pos:R:3 pbc="T T T"
F 0.000 0.000 3.402
F 0.000 0.000 26.174
Ga 0.000 0.000 0.000
Nb 0.000 0.000 14.788
```

Properties
energy relative to the elements, uncorrected = -1.523 eV per atom
SG = No. 166
crystal system = trigonal
polymorph energy (0 for the lowest one) = 0.000 eV/atom
magnetic moment = 0.00 Bohr magnetons per cell

(7)
Here is PbAuF2 after structural relaxation from Alexandria via LeMat-Bulk. Energies are from PBE.

Structure (extended XYZ):
```
4
Lattice="3.315 -2.723 -1.596 -0.328 -4.538 0.499 -0.776 -2.654 -3.648" Properties=species:S:1:pos:R:3 pbc="T T T"
F 1.659 -7.436 -3.558
F 0.553 -2.479 -1.186
Pb 1.106 -4.958 -2.372
Au 0.000 0.000 0.000
```

Properties
energy relative to the elements, uncorrected = -1.054 eV per atom
SG = No. 225
crystal system = cubic
polymorph energy (0 for the lowest one) = 0.027 eV/atom
magnetic moment = 0.00 Bohr magnetons per cell

(8)
Here is Ba3OsN after structural relaxation from Alexandria via LeMat-Bulk. Energies are from PBE.

Structure (extended XYZ):
```
5
Lattice="-0.832 -5.019 1.847 5.312 -0.993 -0.305 0.622 1.766 5.079" Properties=species:S:1:pos:R:3 pbc="T T T"
N 0.000 0.000 0.000
Ba -0.416 -2.510 0.923
Ba 2.656 -0.497 -0.153
Ba 0.311 0.883 2.539
Os 2.551 -2.123 3.310
```

Properties
energy relative to the elements, uncorrected = 0.547 eV per atom
SG = No. 221
crystal system = cubic
polymorph energy (0 for the lowest one) = 0.000 eV/atom
magnetic moment = 1.15 Bohr magnetons per cell

(9)
Here is Pu12IrRh6 after structural relaxation from Alexandria via LeMat-Bulk. Energies are from PBE.

Structure (extended XYZ):
```
19
Lattice="-5.900 -5.015 -1.592 3.835 -2.457 6.611 -5.093 -0.132 6.205" Properties=species:S:1:pos:R:3 pbc="T T T"
Ir 0.000 0.000 0.000
Pu -7.650 -6.231 8.635
Pu -5.922 -2.783 4.462
Pu -7.943 -4.930 5.801
Pu -1.235 -4.820 6.762
Pu -3.657 -1.015 3.758
Pu 0.786 -2.673 5.423
Pu -5.098 -5.424 9.896
Pu -3.500 -6.588 7.466
Pu -2.059 -2.179 1.329
Pu -3.205 -2.423 6.336
Pu -3.952 -5.180 4.888
Pu 0.493 -1.372 2.589
Rh -1.747 -3.262 3.918
Rh -4.391 -3.797 2.317
Rh -2.765 -3.807 8.907
Rh -0.352 -2.140 7.796
Rh -6.805 -5.463 3.429
Rh -5.410 -4.341 7.307
```

Properties
energy relative to the elements = -3.51 eV/f.u.
SG = No. 148
crystal system = trigonal
polymorph energy (0 for the lowest one) = 0.065 eV/atom
magnetic moment = 0.21 Bohr magnetons per cell

(10)
Here is Si2TcI2 after structural relaxation from Alexandria via LeMat-Bulk. Energies are from PBE.

Structure (extended XYZ):
```
5
Lattice="-2.992 0.713 -1.468 -0.526 -3.323 -0.540 -6.757 -2.106 8.792" Properties=species:S:1:pos:R:3 pbc="T T T"
I -7.754 -3.289 6.294
I -2.521 -1.427 0.489
Si -4.521 -3.367 3.624
Si -5.754 -1.349 3.160
Tc 0.000 0.000 0.000
```

Properties
energy relative to the elements, uncorrected = 0.762 eV per atom
SG = No. 139
crystal system = tetragonal
polymorph energy (0 for the lowest one) = 0.000 eV/atom
magnetic moment = 1.18 Bohr magnetons per cell

(11)
Here is Rb2U2TiS6 after structural relaxation from Alexandria via LeMat-Bulk. Energies are from PBE.

Structure (extended XYZ):
```
11
Lattice="6.657 0.006 0.059 -3.285 5.790 0.059 -1.198 -2.059 7.899" Properties=species:S:1:pos:R:3 pbc="T T T"
Rb -1.607 4.814 0.059
Rb 4.980 0.982 0.059
U -0.566 2.831 4.009
U 2.741 0.907 4.009
S 3.818 2.954 2.581
S 1.493 -1.042 5.436
S 0.681 4.780 2.581
S 0.469 0.807 2.523
S -1.644 0.783 5.436
S 1.705 2.931 5.494
Ti -0.599 -1.029 3.949
```

Properties
energy relative to the elements, uncorrected = -1.399 eV per atom
SG = No. 12
crystal system = monoclinic
magnetic moment = 6.00 Bohr magnetons per cell

(12)
Here is PaMnAs3 after structural relaxation from Alexandria via LeMat-Bulk. Energies are from PBE.

Structure (extended XYZ):
```
20
Lattice="-4.157 4.082 0.018 0.599 0.575 7.918 5.558 5.666 -1.453" Properties=species:S:1:pos:R:3 pbc="T T T"
As 2.422 2.603 1.577
As 1.674 7.932 2.070
As 0.326 2.391 4.414
As 5.501 5.724 4.809
As 2.805 4.937 -0.272
As -0.422 7.721 4.907
As -0.805 5.387 6.755
As 0.487 4.504 1.585
As -1.565 2.700 1.666
As 1.513 5.820 4.898
As 3.565 7.624 4.818
As -3.501 4.600 1.674
Mn 0.110 6.336 2.975
Mn 4.369 6.534 -1.177
Mn -2.369 3.790 7.660
Mn 1.890 3.988 3.508
Pa -1.756 4.430 4.121
Pa 0.724 6.976 -0.564
Pa 3.756 5.893 2.362
Pa 1.277 3.348 7.048
```

Properties
energy relative to the elements = -2.52 eV/f.u.
SG = No. 11
crystal system = monoclinic
magnetic moment = 5.76 Bohr magnetons per cell

(13)
Here is Pm4Ho2Tl3H2 after structural relaxation from Alexandria via LeMat-Bulk. Energies are from PBE.

Structure (extended XYZ):
```
11
Lattice="-1.410 2.981 -3.490 0.017 -3.647 -3.122 -11.304 -2.096 6.078" Properties=species:S:1:pos:R:3 pbc="T T T"
Tl 0.000 0.000 0.000
Tl -4.243 -0.859 0.980
Tl -8.453 -1.903 -1.514
H -3.280 -0.856 -2.709
H -9.416 -1.906 2.176
Ho -7.201 -1.458 1.664
Ho -5.495 -1.304 -2.197
Pm -2.073 -2.245 -1.080
Pm -2.787 1.069 -1.264
Pm -10.623 -0.517 0.547
Pm -9.910 -3.831 0.730
```

Properties
DFT total energy = -4.08 eV/atom
SG = No. 139
crystal system = tetragonal
magnetic moment = 0.00 Bohr magnetons per cell

(14)
Here is Tb2Mn12Si7 after structural relaxation from Alexandria via LeMat-Bulk. Energies are from PBE.

Structure (extended XYZ):
```
21
Lattice="3.577 0.000 0.000 0.000 8.384 -4.841 0.000 0.000 9.681" Properties=species:S:1:pos:R:3 pbc="T T T"
Tb 0.000 5.590 0.000
Tb 1.788 0.000 0.000
Mn 0.000 3.814 2.733
Mn 1.788 3.204 0.915
Mn 1.788 1.992 6.557
Mn 0.000 7.948 -2.329
Mn 0.000 2.393 -0.878
Mn 0.000 6.427 3.207
Mn 0.000 4.111 6.777
Mn 0.000 0.460 5.012
Mn 1.788 5.990 -2.524
Mn 1.788 7.575 1.609
Mn 1.788 1.710 3.288
Mn 1.788 4.682 4.677
Si 1.788 5.252 2.232
Si 0.000 2.795 4.841
Si 0.000 1.753 1.508
Si 1.788 7.691 -0.823
Si 0.000 6.202 5.605
Si 1.788 3.826 -1.408
Si 0.000 0.430 7.409
```

Properties
energy relative to the elements, uncorrected = -0.402 eV per atom
SG = No. 174
crystal system = hexagonal
magnetic moment = 24.13 Bohr magnetons per cell

(15)
Here is AlTlClF3 after structural relaxation from Alexandria via LeMat-Bulk. Energies are from PBE.

Structure (extended XYZ):
```
12
Lattice="5.167 -0.340 0.000 0.837 5.654 0.000 0.419 2.827 8.980" Properties=species:S:1:pos:R:3 pbc="T T T"
Cl 2.129 5.569 6.016
Cl 4.294 2.572 2.964
F 2.129 5.569 2.263
F 2.807 0.934 0.227
F 4.294 2.572 6.717
F 0.643 3.930 8.753
F 3.615 7.208 8.753
F 5.780 4.211 0.227
Tl 1.710 2.742 4.655
Tl 4.712 5.399 4.324
Al 4.294 2.572 8.384
Al 2.129 5.569 0.596
```

Properties
energy relative to the elements, uncorrected = -2.509 eV per atom
SG = No. 15
crystal system = monoclinic
magnetic moment = 0.00 Bohr magnetons per cell

(16)
Here is NdEr5Pb4 after structural relaxation from Alexandria via LeMat-Bulk. Energies are from PBE.

Structure (extended XYZ):
```
10
Lattice="4.584 0.000 0.000 0.000 7.924 -0.334 -2.292 -1.498 8.831" Properties=species:S:1:pos:R:3 pbc="T T T"
Er 2.292 3.962 -0.167
Er 2.292 1.095 6.280
Er 0.000 5.331 2.217
Er 2.292 4.522 4.869
Er 0.000 1.903 3.628
Pb 0.000 6.826 5.214
Pb 0.000 2.142 0.624
Pb 2.292 4.283 7.873
Pb 2.292 -0.400 3.283
Nd 2.292 0.000 0.000
```

Properties
energy relative to the elements = -2.22 eV/f.u.
SG = No. 12
crystal system = monoclinic
magnetic moment = 0.15 Bohr magnetons per cell

(17)
Here is DyCdAgHg after structural relaxation from Alexandria via LeMat-Bulk. Energies are from PBE.

Structure (extended XYZ):
```
4
Lattice="-1.681 4.697 0.361 -4.701 1.082 -1.321 -3.370 1.188 3.499" Properties=species:S:1:pos:R:3 pbc="T T T"
Cd -7.314 5.226 1.904
Ag 0.000 0.000 0.000
Dy -2.438 1.742 0.635
Hg -4.876 3.484 1.270
```

Properties
energy relative to the elements = -1.37 eV/f.u.
SG = No. 216
crystal system = cubic
magnetic moment = 0.00 Bohr magnetons per cell

(18)
Here is SrAsO3 after structural relaxation from Alexandria via LeMat-Bulk. Energies are from PBE.

Structure (extended XYZ):
```
10
Lattice="4.426 0.661 0.434 1.251 6.698 0.555 1.287 2.355 6.263" Properties=species:S:1:pos:R:3 pbc="T T T"
O 4.959 7.327 1.446
O 3.184 2.921 2.640
O 4.211 7.740 5.707
O 4.747 5.331 3.891
O 2.142 6.668 3.928
O 5.717 5.578 6.444
As 2.950 2.227 1.024
As 5.222 6.528 5.028
Sr 3.071 5.523 1.992
Sr 1.030 2.296 4.076
```

Properties
energy relative to the elements, uncorrected = -2.029 eV per atom
SG = No. 1
crystal system = triclinic
magnetic moment = 0.00 Bohr magnetons per cell

(19)
Here is ZrIrBr2 after structural relaxation from Alexandria via LeMat-Bulk. Energies are from PBE.

Structure (extended XYZ):
```
4
Lattice="-3.031 3.163 -0.599 -3.196 -3.054 0.050 -0.335 0.415 3.885" Properties=species:S:1:pos:R:3 pbc="T T T"
Br -3.114 0.054 -0.274
Br 0.000 0.000 0.000
Ir -1.683 1.789 1.643
Zr -1.766 -1.319 1.968
```

Properties
energy relative to the elements, uncorrected = 0.339 eV per atom
SG = No. 123
crystal system = tetragonal
polymorph energy (0 for the lowest one) = 0.878 eV/atom
magnetic moment = 0.00 Bohr magnetons per cell

(20)
Here is Zn2MoRh after structural relaxation from Alexandria via LeMat-Bulk. Energies are from PBE.

Structure (extended XYZ):
```
4
Lattice="2.869 0.026 0.000 -0.026 2.869 0.000 0.000 0.000 7.063" Properties=species:S:1:pos:R:3 pbc="T T T"
Mo 0.000 0.000 3.581
Zn 1.421 1.448 1.718
Zn 0.000 0.000 7.033
Rh 1.421 1.448 5.326
```

Properties
energy relative to the elements = -0.62 eV/f.u.
SG = No. 99
crystal system = tetragonal
polymorph energy (0 for the lowest one) = 0.000 eV/atom
magnetic moment = 0.00 Bohr magnetons per cell

(21)
Here is Si2BiW2 after structural relaxation from Alexandria via LeMat-Bulk. Energies are from PBE.

Structure (extended XYZ):
```
5
Lattice="-2.221 3.720 -0.131 -1.355 -0.951 -4.006 -5.754 -0.917 -0.180" Properties=species:S:1:pos:R:3 pbc="T T T"
Si -6.593 1.018 -2.701
Si -2.738 0.833 -1.616
Bi 0.000 0.000 0.000
W -4.449 -0.242 -3.127
W -4.882 2.093 -1.190
```

Properties
energy relative to the elements, uncorrected = 0.428 eV per atom
SG = No. 139
crystal system = tetragonal
polymorph energy (0 for the lowest one) = 0.000 eV/atom
magnetic moment = 0.00 Bohr magnetons per cell

(22)
Here is LuZnHg after structural relaxation from Alexandria via LeMat-Bulk. Energies are from PBE.

Structure (extended XYZ):
```
3
Lattice="3.404 0.000 0.000 0.000 4.651 0.000 0.000 -2.326 4.028" Properties=species:S:1:pos:R:3 pbc="T T T"
Zn 0.568 0.000 0.000
Lu 2.270 2.326 1.343
Hg 0.566 0.000 2.685
```

Properties
energy relative to the elements = -1.09 eV/f.u.
SG = No. 187
crystal system = hexagonal
magnetic moment = 0.00 Bohr magnetons per cell

(23)
Here is ZrCrPtC2 after structural relaxation from Alexandria via LeMat-Bulk. Energies are from PBE.

Structure (extended XYZ):
```
5
Lattice="3.942 0.000 0.000 0.000 5.560 0.000 0.000 0.000 3.942" Properties=species:S:1:pos:R:3 pbc="T T T"
C 1.971 0.000 0.000
C 0.000 0.000 1.971
Cr 1.971 2.780 1.971
Pt 0.000 0.000 0.000
Zr 0.000 2.780 0.000
```

Properties
energy relative to the elements = 9.03 eV/f.u.
SG = No. 123
crystal system = tetragonal
magnetic moment = 2.33 Bohr magnetons per cell

(24)
Here is Sc2SbP after structural relaxation from Alexandria via LeMat-Bulk. Energies are from PBE.

Structure (extended XYZ):
```
4
Lattice="-0.890 1.674 2.932 -3.230 0.083 -1.028 -2.737 -6.190 2.704" Properties=species:S:1:pos:R:3 pbc="T T T"
Sc -3.012 -4.844 1.852
Sc -2.955 -1.263 -0.176
Sb -1.813 -2.258 2.818
P -2.060 0.879 0.952
```

Properties
energy relative to the elements, uncorrected = -0.878 eV per atom
SG = No. 10
crystal system = monoclinic
magnetic moment = 0.00 Bohr magnetons per cell